No. 1
This record from Alexandria via LeMat-Bulk describes a geometry-optimized MnNbSCl2 structure. The functional is PBE.

Values from the calculation:
ΔE to the lowest computed polymorph: 688.1 meV per atom
space-group type: P4/mmm

Cell lengths 4.421, 4.421, 4.524 Å; angles 90.00, 90.00, 90.00 degrees
Fractional coordinates of all 5 atoms:
Mn1 0.000 0.000 0.000
Nb1 0.500 0.500 0.500
S1 0.000 0.000 0.500
Cl1 0.000 0.500 0.000
Cl2 0.500 0.000 0.000

=====

No. 2
This record from Alexandria via LeMat-Bulk describes a geometry-optimized Y2MnNbCl structure. The functional is PBE.

Values from the calculation:
space-group type: P4/mmm

Cell lengths 5.149, 5.149, 4.575 Å; angles 90.00, 90.00, 90.00 degrees
Fractional coordinates of all 5 atoms:
Y1 0.000 0.500 0.000
Y2 0.500 0.000 0.000
Mn1 0.000 0.000 0.500
Nb1 0.500 0.500 0.500
Cl1 0.500 0.500 0.000

=====

No. 3
This record from Alexandria via LeMat-Bulk describes a geometry-optimized RbNdMnCl6 structure. The functional is PBE.

Values from the calculation:
space-group type: P-31c

Cell lengths 6.637, 6.637, 14.920 Å; angles 90.00, 90.00, 120.00 degrees
Fractional coordinates of all 18 atoms:
Rb1 0.000 0.000 0.000
Rb2 0.000 0.000 0.500
Nd1 0.333 0.667 0.250
Nd2 0.667 0.333 0.750
Mn1 0.333 0.667 0.750
Mn2 0.667 0.333 0.250
Cl1 0.043 0.385 0.653
Cl2 0.043 0.657 0.847
Cl3 0.343 0.385 0.847
Cl4 0.343 0.957 0.653
Cl5 0.385 0.043 0.153
Cl6 0.385 0.343 0.347
Cl7 0.615 0.657 0.653
Cl8 0.615 0.957 0.847
Cl9 0.657 0.043 0.347
Cl10 0.657 0.615 0.153
Cl11 0.957 0.343 0.153
Cl12 0.957 0.615 0.347

=====

No. 4
This record from Alexandria via LeMat-Bulk describes a geometry-optimized NdMnTl2Cl8 structure. The functional is PBE.

Values from the calculation:
space-group type: P-1

Cell lengths 6.843, 7.044, 8.092 Å; angles 89.46, 89.41, 86.88 degrees
Fractional coordinates of all 12 atoms:
Nd1 0.000 0.000 0.000
Mn1 0.000 0.000 0.500
Tl1 0.481 0.487 0.733
Tl2 0.519 0.513 0.267
Cl1 0.169 0.719 0.496
Cl2 0.201 0.115 0.285
Cl3 0.228 0.669 0.006
Cl4 0.234 0.125 0.748
Cl5 0.766 0.875 0.252
Cl6 0.772 0.331 0.994
Cl7 0.799 0.885 0.715
Cl8 0.831 0.281 0.504

=====

| no. | formation energy without anion corrections (meV/atom) | total DFT energy (no corrections) (Ha/atom) |
| --- | --- | --- |
| 1 | 536 | -0.179 |
| 2 | 165 | -0.244 |
| 3 | -1562 | -0.164 |
| 4 | -1392 | -0.154 |